Record 1
Below is an optimized crystal structure of Y5Cd2Co, with properties calculated at the PBE level.

Cell lengths 6.8394, 12.0226, 5.0882 Å; angles 90.00, 90.00, 90.00 degrees
Last column: nearest neighbours and their distance in Å.
Fractional positions:
Y (0.0000, 0.0000, 0.0000)  4 Cd 3.20, 2 Co 3.42, 2 Y 3.55
Y (0.1260, 0.2950, 0.0000)  1 Co 2.61
Y (0.1664, 0.5934, 0.5000)  2 Co 3.00, 3 Cd 3.10-3.29, 1 Y 3.20
Y (0.3336, 0.0934, 0.5000)  2 Co 3.00, 3 Cd 3.10-3.29, 1 Y 3.20
Y (0.3740, 0.7950, 0.0000)  1 Co 2.61
Y (0.5000, 0.5000, 0.0000)  4 Cd 3.20, 2 Co 3.42, 2 Y 3.55
Y (0.6260, 0.2050, 0.0000)  1 Co 2.61
Y (0.6664, 0.9066, 0.5000)  2 Co 3.00, 3 Cd 3.10-3.29, 1 Y 3.20
Y (0.8336, 0.4066, 0.5000)  2 Co 3.00, 3 Cd 3.10-3.29, 1 Y 3.20
Y (0.8740, 0.7050, 0.0000)  1 Co 2.61
Cd (0.1086, 0.8513, 0.5000)  7 Y 3.10-3.29
Cd (0.3914, 0.3513, 0.5000)  7 Y 3.10-3.29
Cd (0.6086, 0.6487, 0.5000)  7 Y 3.10-3.29
Cd (0.8914, 0.1487, 0.5000)  7 Y 3.10-3.29
Co (0.0000, 0.5000, 0.0000)  2 Y 2.61
Co (0.5000, 0.0000, 0.0000)  2 Y 2.61

Calculated values
- Formation energy: -0.21 eV/atom
- Volume: 26.15 Å³ per atom

Record 2
Below is an optimized crystal structure of Ac2TlSbO5, with properties calculated at the PBE level.

Cell lengths 7.2804, 7.2804, 6.4280 Å; angles 90.00, 90.00, 90.00 degrees
Last column: nearest neighbours and their distance in Å.
Fractional positions:
Ac (0.1801, 0.3199, 0.0000)  4 O 2.46-2.67
Ac (0.3199, 0.8199, 0.0000)  4 O 2.46-2.67
Ac (0.6801, 0.1801, 0.0000)  4 O 2.46-2.67
Ac (0.8199, 0.6801, 0.0000)  4 O 2.46-2.67
Tl (0.0000, 0.0000, 0.5000)  10 O 3.21-3.28
Tl (0.5000, 0.5000, 0.5000)  10 O 3.21-3.28
Sb (0.0000, 0.5000, 0.5000)  4 O 2.16
Sb (0.5000, 0.0000, 0.5000)  4 O 2.16
O (0.0000, 0.0000, 0.0000)  4 Ac 2.67
O (0.1349, 0.6349, 0.2421)  1 Sb 2.16
O (0.1349, 0.6349, 0.7579)  1 Sb 2.16
O (0.3651, 0.1349, 0.2421)  1 Sb 2.16
O (0.3651, 0.1349, 0.7579)  1 Sb 2.16
O (0.5000, 0.5000, 0.0000)  4 Ac 2.67
O (0.6349, 0.8651, 0.2421)  1 Sb 2.16
O (0.6349, 0.8651, 0.7579)  1 Sb 2.16
O (0.8651, 0.3651, 0.2421)  1 Sb 2.16
O (0.8651, 0.3651, 0.7579)  1 Sb 2.16

Calculated values
- E_form (uncorrected): -18.892 eV per formula unit
- Volume: 18.93 Å³ per atom

Record 3
Below is an optimized crystal structure of AcCe2Pm, with properties calculated at the PBE level.

Cell lengths 5.8688, 5.8688, 5.8688 Å; angles 60.00, 60.00, 60.00 degrees
Last column: nearest neighbours and their distance in Å.
Fractional positions:
Ac (0.0000, 0.0000, 0.0000)  8 Ce 3.59
Ce (0.2500, 0.2500, 0.2500)  4 Ac 3.59, 4 Pm 3.59
Ce (0.7500, 0.7500, 0.7500)  4 Pm 3.59, 4 Ac 3.59
Pm (0.5000, 0.5000, 0.5000)  8 Ce 3.59

Calculated values
- Formation energy: 0.30 eV/atom
- Volume: 35.73 Å³ per atom

Record 4
Below is an optimized crystal structure of CeHfAs, with properties calculated at the PBE level.

Cell lengths 4.1481, 4.1481, 8.5731 Å; angles 103.94, 103.94, 90.01 degrees
Last column: nearest neighbours and their distance in Å.
Fractional positions:
Ce (0.1767, 0.1767, 0.3546)  5 As 3.06-3.21
Ce (0.8233, 0.8233, 0.6454)  5 As 3.06-3.21
Hf (0.0000, 0.5000, 0.0000)  4 As 2.88, 4 Hf 2.93
Hf (0.5000, 0.0000, 0.0000)  4 As 2.88, 4 Hf 2.93
As (0.3770, 0.3770, 0.7529)  4 Hf 2.88, 5 Ce 3.06-3.21
As (0.6230, 0.6230, 0.2471)  4 Hf 2.88, 5 Ce 3.06-3.21

Calculated values
- Formation energy: -0.83 eV/atom
- Volume: 23.11 Å³ per atom

The lowest volume belongs to which entry? Ac2TlSbO5

What is the volume in the fourth record? 23.11 Å³ per atom

What is the volume in the first record? 26.15 Å³ per atom